Below is crystalline Ba8Ir2Pd at its relaxed geometry, with properties calculated at the PBE level.

Summary:
raw total energy = -77.18 eV for the cell shown
energy of formation = -0.6 kcal/mol of atoms

Cell lengths 16.230, 9.417, 7.484 Å; angles 90.00, 90.13, 90.00 degrees
Space group C2/m (No. 12)
Asymmetric unit:
Ba 0.084 0.248 0.264
Ba 0.165 0.500 0.780
Ba 0.166 0.000 0.738
Ir 0.167 0.500 0.398
Pd 0.000 0.000 0.500